1.
# Sm2Ho7Mg | Alexandria via LeMat-Bulk | PBE | optimized geometry
data_Sm2Ho7Mg
_symmetry_space_group_name_H-M 'P 1'
_symmetry_Int_Tables_number 1
_symmetry_space_group_name_Hall 'P 1'
_cell_length_a 9.369
_cell_length_b 9.369
_cell_length_c 5.244
_cell_angle_alpha 90.00
_cell_angle_beta 90.00
_cell_angle_gamma 125.22
loop_
_atom_site_label
_atom_site_type_symbol
_atom_site_fract_x
_atom_site_fract_y
_atom_site_fract_z
Sm1 Sm 0.205 0.795 0.000
Sm2 Sm 0.795 0.205 0.000
Ho1 Ho 0.000 0.000 0.000
Ho2 Ho 0.217 0.427 0.000
Ho3 Ho 0.300 0.700 0.500
Ho4 Ho 0.427 0.217 0.000
Ho5 Ho 0.573 0.783 0.000
Ho6 Ho 0.700 0.300 0.500
Ho7 Ho 0.783 0.573 0.000
Mg1 Mg 0.500 0.500 0.500
# space group: Cmmm
# magnetization: 0.00 μB/cell
# calculated density: 6.5 Mg/m³
# energy relative to the elements: 0.67 eV per atom

---

2.
# SrPrTh | Alexandria via LeMat-Bulk | PBE | optimized geometry
data_SrPrTh
_symmetry_space_group_name_H-M 'P 1'
_symmetry_Int_Tables_number 1
_symmetry_space_group_name_Hall 'P 1'
_cell_length_a 19.722
_cell_length_b 19.722
_cell_length_c 19.722
_cell_angle_alpha 10.80
_cell_angle_beta 10.80
_cell_angle_gamma 10.80
loop_
_atom_site_label
_atom_site_type_symbol
_atom_site_fract_x
_atom_site_fract_y
_atom_site_fract_z
Sr1 Sr 0.197 0.197 0.197
Sr2 Sr 0.803 0.803 0.803
Pr1 Pr 0.259 0.259 0.259
Pr2 Pr 0.741 0.741 0.741
Th1 Th 0.358 0.358 0.358
Th2 Th 0.642 0.642 0.642
# space group: R-3m
# magnetization: 0.00 μB/cell
# excess energy over the best structure of this formula in the dataset: 0.015 eV/atom
# calculated density: 6.5 Mg/m³
# energy relative to the elements: 0.19 eV per atom

---

3.
# YNpCo4 | Alexandria via LeMat-Bulk | PBE | optimized geometry
data_YNpCo4
_symmetry_space_group_name_H-M 'P 1'
_symmetry_Int_Tables_number 1
_symmetry_space_group_name_Hall 'P 1'
_cell_length_a 5.027
_cell_length_b 5.027
_cell_length_c 5.027
_cell_angle_alpha 60.00
_cell_angle_beta 60.00
_cell_angle_gamma 60.00
loop_
_atom_site_label
_atom_site_type_symbol
_atom_site_fract_x
_atom_site_fract_y
_atom_site_fract_z
Y1 Y 0.000 0.000 0.000
Np1 Np 0.250 0.250 0.250
Co1 Co 0.127 0.624 0.624
Co2 Co 0.624 0.127 0.624
Co3 Co 0.624 0.624 0.127
Co4 Co 0.624 0.624 0.624
# space group: F-43m
# magnetization: 0.14 μB/cell
# calculated density: 10.4 Mg/m³
# energy relative to the elements: -0.09 eV per atom

---

4.
# LiCeGdIn | Alexandria via LeMat-Bulk | PBE | optimized geometry
data_LiCeGdIn
_symmetry_space_group_name_H-M 'P 1'
_symmetry_Int_Tables_number 1
_symmetry_space_group_name_Hall 'P 1'
_cell_length_a 5.360
_cell_length_b 5.360
_cell_length_c 5.360
_cell_angle_alpha 60.00
_cell_angle_beta 60.00
_cell_angle_gamma 60.00
loop_
_atom_site_label
_atom_site_type_symbol
_atom_site_fract_x
_atom_site_fract_y
_atom_site_fract_z
Li1 Li 0.000 0.000 0.000
Ce1 Ce 0.250 0.250 0.250
Gd1 Gd 0.750 0.750 0.750
In1 In 0.500 0.500 0.500
# space group: F-43m
# magnetization: 8.88 μB/cell
# calculated density: 6.4 Mg/m³
# energy relative to the elements: -0.16 eV per atom